# 1
FeSiOs2 | PBE-GGA | relaxed

Lattice parameters (Å, degrees): 2.9404 2.9404 6.0248 90.00 90.00 90.00
Closest atoms and distances in Å follow each position.
Sites, in units of the cell vectors:
Fe 0.0000 0.0000 0.0000  8 Os 2.62
Si 0.0000 0.0000 0.5000  8 Os 2.52
Os 0.5000 0.5000 0.2643  4 Si 2.52, 4 Fe 2.62
Os 0.5000 0.5000 0.7357  4 Si 2.52, 4 Fe 2.62

Calculated values
Density: 14.80 Mg/m³
E_form (uncorrected): -0.07 eV/atom
DOS(E_F): 3.23 states/eV/f.u.
M_tot: 0.71 μB/atom



# 2
PmHoMg2 | PBE-GGA | relaxed

Lattice parameters (Å, degrees): 5.3781 5.3781 3.8468 90.00 90.00 90.00
Closest atoms and distances in Å follow each position.
Sites, in units of the cell vectors:
Pm 0.0000 0.0000 0.0000  8 Mg 3.31
Ho 0.5000 0.5000 0.0000  8 Mg 3.31
Mg 0.0000 0.5000 0.5000  4 Ho 3.31, 4 Pm 3.31
Mg 0.5000 0.0000 0.5000  4 Ho 3.31, 4 Pm 3.31

Calculated values
Density: 5.35 Mg/m³
Formation energy: -0.090 eV/atom
Excess energy over the best structure of this formula in the dataset: 6 meV/atom
DOS(E_F): 4.30 states/eV/f.u.
M_tot: 0.00 μB/atom



# 3
Ac2Nd3Ag2 | PBE-GGA | relaxed

Lattice parameters (Å, degrees): 6.9087 6.9087 9.8661 114.64 114.64 33.62
Closest atoms and distances in Å follow each position.
Sites, in units of the cell vectors:
Ac 0.1495 0.1495 0.3090  2 Ag 3.37
Ac 0.8505 0.8505 0.6910  2 Ag 3.37
Nd 0.3832 0.3832 0.0499  3 Ag 3.17-3.24
Nd 0.5000 0.5000 0.5000  4 Ag 3.08
Nd 0.6168 0.6168 0.9501  3 Ag 3.17-3.24
Ag 0.1607 0.1607 0.7315  5 Nd 3.08-3.24, 2 Ac 3.37
Ag 0.8393 0.8393 0.2685  5 Nd 3.08-3.24, 2 Ac 3.37

Calculated values
Density: 7.80 Mg/m³
Formation energy: -0.120 eV/atom
Excess energy over the best structure of this formula in the dataset: 0 meV/atom
DOS(E_F): 9.24 states/eV/f.u.
M_tot: 0.00 μB/atom



# 4
CsKNa6 | PBE-GGA | relaxed

Lattice parameters (Å, degrees): 6.1665 8.5855 8.5855 63.06 90.00 90.00
Closest atoms and distances in Å follow each position.
Sites, in units of the cell vectors:
Cs 0.0000 0.0000 0.0000  12 Na 4.27-4.49
K 0.5000 0.3063 0.3063  12 Na 4.14-4.49
Na 0.0000 0.4949 0.4949  6 Na 3.75-3.95, 2 K 4.14
Na 0.0000 0.5235 0.9413  6 Na 3.73-3.95
Na 0.0000 0.9413 0.5235  6 Na 3.73-3.95
Na 0.5000 0.3808 0.7729  6 Na 3.52-3.83
Na 0.5000 0.7729 0.3808  6 Na 3.52-3.83
Na 0.5000 0.7965 0.7965  6 Na 3.67-3.73

Calculated values
Density: 1.27 Mg/m³
Formation energy: 0.047 eV/atom
Excess energy over the best structure of this formula in the dataset: 11 meV/atom
DOS(E_F): 4.66 states/eV/f.u.
M_tot: 0.00 μB/atom



# 5
La4TbNd7 | PBE-GGA | relaxed

Lattice parameters (Å, degrees): 6.8704 6.8704 13.1382 114.20 114.20 53.31
Closest atoms and distances in Å follow each position.
Sites, in units of the cell vectors:
La 0.0563 0.0563 0.3317  5 Nd 3.40-3.73, 2 La 3.75
La 0.3624 0.3624 0.2220  7 Nd 3.49-3.82, 2 La 3.75
La 0.6376 0.6376 0.7780  7 Nd 3.49-3.82, 2 La 3.75
La 0.9437 0.9437 0.6683  5 Nd 3.40-3.73, 2 La 3.75
Tb 0.5000 0.5000 0.0000  4 Nd 3.08-3.22
Nd 0.0000 0.0000 0.0000  2 Tb 3.08, 2 Nd 3.18
Nd 0.2106 0.2106 0.9229  2 Nd 3.18-3.38, 1 Tb 3.22, 4 La 3.45-3.52
Nd 0.2563 0.2563 0.6880  2 Nd 3.33-3.38, 1 La 3.73
Nd 0.3650 0.3650 0.4973  2 Nd 3.28-3.33, 5 La 3.40-3.67
Nd 0.6350 0.6350 0.5027  2 Nd 3.28-3.33, 5 La 3.40-3.67
Nd 0.7437 0.7437 0.3120  2 Nd 3.33-3.38, 1 La 3.73
Nd 0.7894 0.7894 0.0771  2 Nd 3.18-3.38, 1 Tb 3.22, 4 La 3.45-3.52

Calculated values
Density: 6.48 Mg/m³
Formation energy: 0.223 eV/atom
Excess energy over the best structure of this formula in the dataset: 204 meV/atom
DOS(E_F): 20.96 states/eV/f.u.
M_tot: 0.00 μB/atom



# 6
PaMnCrS6 | PBE-GGA | relaxed

Lattice parameters (Å, degrees): 6.0598 6.0598 5.8117 90.00 90.00 120.00
Closest atoms and distances in Å follow each position.
Sites, in units of the cell vectors:
Pa 0.0000 0.0000 0.0000  6 S 2.67
Mn 0.6667 0.3333 0.5000  6 S 2.35
Cr 0.3333 0.6667 0.5000  6 S 2.37
S 0.3539 0.0028 0.7256  1 Mn 2.35, 1 Cr 2.37
S 0.3539 0.3511 0.2744  1 Mn 2.35, 1 Cr 2.37
S 0.6489 0.0028 0.2744  1 Mn 2.35, 1 Cr 2.37
S 0.6489 0.6461 0.7256  1 Mn 2.35, 1 Cr 2.37
S 0.9972 0.3511 0.7256  1 Mn 2.35, 1 Cr 2.37
S 0.9972 0.6461 0.2744  1 Mn 2.35, 1 Cr 2.37

Calculated values
Density: 4.77 Mg/m³
E_form (uncorrected): -0.82 eV/atom
DOS(E_F): 0.15 states/eV/f.u.
M_tot: 0.67 μB/atom



# 7
KCaCrBr6 | PBE-GGA | relaxed

Lattice parameters (Å, degrees): 7.1449 7.1449 14.2598 90.00 90.00 120.00
Closest atoms and distances in Å follow each position.
Sites, in units of the cell vectors:
K 0.0000 0.0000 0.0000  6 Br 3.35
K 0.0000 0.0000 0.5000  6 Br 3.35
Ca 0.3333 0.6667 0.2500  6 Br 2.90
Ca 0.6667 0.3333 0.7500  6 Br 2.90
Cr 0.3333 0.6667 0.7500  6 Br 2.54
Cr 0.6667 0.3333 0.2500  6 Br 2.54
Br 0.0384 0.3874 0.6448  1 Cr 2.54
Br 0.0384 0.6510 0.8552  1 Cr 2.54
Br 0.3490 0.3874 0.8552  1 Cr 2.54
Br 0.3490 0.9616 0.6448  1 Cr 2.54
Br 0.3874 0.0384 0.1448  1 Cr 2.54
Br 0.3874 0.3490 0.3552  1 Cr 2.54
Br 0.6126 0.6510 0.6448  1 Cr 2.54
Br 0.6126 0.9616 0.8552  1 Cr 2.54
Br 0.6510 0.0384 0.3552  1 Cr 2.54
Br 0.6510 0.6126 0.1448  1 Cr 2.54
Br 0.9616 0.3490 0.1448  1 Cr 2.54
Br 0.9616 0.6126 0.3552  1 Cr 2.54

Calculated values
Density: 3.22 Mg/m³
E_form (uncorrected): -1.40 eV/atom
M_tot: 0.33 μB/atom



# 8
Ag2SbP2 | PBE-GGA | relaxed

Lattice parameters (Å, degrees): 7.9180 7.9180 3.0737 90.00 90.00 90.00
Closest atoms and distances in Å follow each position.
Sites, in units of the cell vectors:
Ag 0.1247 0.3753 0.0000  6 P 2.67-2.90, 1 Ag 2.79
Ag 0.3753 0.8753 0.0000  6 P 2.67-2.90, 1 Ag 2.79
Ag 0.6247 0.1247 0.0000  6 P 2.67-2.90, 1 Ag 2.79
Ag 0.8753 0.6247 0.0000  6 P 2.67-2.90, 1 Ag 2.79
Sb 0.0000 0.0000 0.5000  4 P 2.90, 2 Sb 3.07
Sb 0.5000 0.5000 0.5000  4 P 2.90, 2 Sb 3.07
P 0.1807 0.6807 0.5000  6 Ag 2.67-2.90, 2 Sb 2.90
P 0.3193 0.1807 0.5000  6 Ag 2.67-2.90, 2 Sb 2.90
P 0.6807 0.8193 0.5000  6 Ag 2.67-2.90, 2 Sb 2.90
P 0.8193 0.3193 0.5000  6 Ag 2.67-2.90, 2 Sb 2.90

Calculated values
Density: 6.88 Mg/m³
Excess energy over the best structure of this formula in the dataset: 65 meV/atom
E_form (uncorrected): 0.35 eV/atom
DOS(E_F): 2.22 states/eV/f.u.
M_tot: 0.00 μB/atom